No. 1
Below is a relaxed Ca2Zn2Cu5Pd crystal, with properties calculated at the PBE-GGA level.

a b c (Å): 9.6302 9.6302 3.6120
angles (deg): 90.00 90.00 90.00
Space group P4/mbm (No. 127)
Symmetry-distinct sites (fractional):
Ca 0.1800 0.3200 0.0000 (multiplicity 4)
Zn 0.1186 0.6186 0.0000 (multiplicity 4)
Cu 0.0000 0.5000 0.5000 (multiplicity 2)
Cu 0.0530 0.8054 0.5000 (multiplicity 8)
Pd 0.0000 0.0000 0.0000 (multiplicity 2)

Computed properties:
Spin magnetization ... 0.00 μB per cell
Energy relative to the elements ... -0.103 eV/atom
VASP energy ... -3.326 eV per atom
D(E_F) ... 2.363 states/eV/f.u.

***

No. 2
Below is a relaxed CaZn5Cu2Pd crystal, with properties calculated at the PBE-GGA level.

a b c (Å): 4.7086 4.7086 7.0632
angles (deg): 90.00 90.00 90.00
Space group P4/mmm (No. 123)
Symmetry-distinct sites (fractional):
Ca 0.0000 0.0000 0.0000 (multiplicity 1)
Zn 0.0000 0.5000 0.3048 (multiplicity 4)
Zn 0.5000 0.5000 0.0000 (multiplicity 1)
Cu 0.5000 0.5000 0.3328 (multiplicity 2)
Pd 0.0000 0.0000 0.5000 (multiplicity 1)

Computed properties:
Spin magnetization ... 0.00 μB per cell
Energy relative to the elements ... -0.091 eV/atom
VASP energy ... -2.509 eV per atom
D(E_F) ... 2.220 states/eV/f.u.

***

No. 3
Below is a relaxed CaPm4Cu4 crystal, with properties calculated at the PBE-GGA level.

a b c (Å): 9.3231 9.3231 5.6296
angles (deg): 90.00 90.00 90.00
Space group P4_2/n (No. 86, origin choice 2)
Symmetry-distinct sites (fractional):
Ca 0.2500 0.2500 0.2500 (multiplicity 2)
Pm 0.0828 0.6621 0.1458 (multiplicity 8)
Cu 0.0230 0.6042 0.6348 (multiplicity 8)

Computed properties:
Spin magnetization ... 0.00 μB per cell
Energy relative to the elements ... -0.008 eV/atom
VASP energy ... -4.162 eV per atom
D(E_F) ... 10.050 states/eV/f.u.

***

No. 4
Below is a relaxed CaPmCu4 crystal, with properties calculated at the PBE-GGA level.

a b c (Å): 7.5299 7.5299 7.5299
angles (deg): 90.00 90.00 90.00
Space group F-43m (No. 216)
Symmetry-distinct sites (fractional):
Ca 0.0000 0.0000 0.0000 (multiplicity 4)
Pm 0.2500 0.2500 0.7500 (multiplicity 4)
Cu 0.1262 0.1262 0.3738 (multiplicity 16)

Computed properties:
Spin magnetization ... 0.00 μB per cell
Energy relative to the elements ... -0.096 eV/atom
VASP energy ... -3.952 eV per atom
Relative energy among the computed polymorphs ... 69 meV/atom
D(E_F) ... 7.047 states/eV/f.u.

***

No. 5
Below is a relaxed CaPm2Cu3 crystal, with properties calculated at the PBE-GGA level.

a b c (Å): 5.0314 5.0314 12.3087
angles (deg): 90.00 90.00 120.00
Space group P-3m1 (No. 164)
Symmetry-distinct sites (fractional):
Ca 0.3333 0.6667 0.1665 (multiplicity 2)
Pm 0.0000 0.0000 0.0000 (multiplicity 1)
Pm 0.0000 0.0000 0.5000 (multiplicity 1)
Pm 0.3333 0.6667 0.6705 (multiplicity 2)
Cu 0.0000 0.0000 0.2530 (multiplicity 2)
Cu 0.3333 0.6667 0.4252 (multiplicity 2)
Cu 0.3333 0.6667 0.9197 (multiplicity 2)

Computed properties:
Spin magnetization ... 0.00 μB per cell
Energy relative to the elements ... -0.142 eV/atom
VASP energy ... -4.107 eV per atom
Relative energy among the computed polymorphs ... 0 meV/atom
D(E_F) ... 3.706 states/eV/f.u.

***

No. 6
Below is a relaxed CaPmCu crystal, with properties calculated at the PBE-GGA level.

a b c (Å): 3.5942 3.5942 12.9885
angles (deg): 90.00 90.00 90.00
Space group I4mm (No. 107)
Symmetry-distinct sites (fractional):
Ca 0.0000 0.0000 0.0000 (multiplicity 2)
Pm 0.0000 0.0000 0.2663 (multiplicity 2)
Cu 0.0000 0.0000 0.6441 (multiplicity 2)

Computed properties:
Spin magnetization ... 0.00 μB per cell
Energy relative to the elements ... -0.051 eV/atom
VASP energy ... -3.667 eV per atom
Relative energy among the computed polymorphs ... 0 meV/atom
D(E_F) ... 4.019 states/eV/f.u.

***

No. 7
Below is a relaxed CaPm5Cu6 crystal, with properties calculated at the PBE-GGA level.

a b c (Å): 5.0489 7.0987 7.9895
angles (deg): 90.00 108.41 90.00
Space group P2/m (No. 10)
Symmetry-distinct sites (fractional):
Ca 0.0000 0.0000 0.0000 (multiplicity 1)
Pm 0.0000 0.5000 0.0000 (multiplicity 1)
Pm 0.3321 0.5000 0.6671 (multiplicity 2)
Pm 0.3352 0.0000 0.6727 (multiplicity 2)
Cu 0.1745 0.2521 0.3429 (multiplicity 4)
Cu 0.5000 0.2619 0.0000 (multiplicity 2)

Computed properties:
Spin magnetization ... 0.00 μB per cell
Energy relative to the elements ... -0.153 eV/atom
VASP energy ... -4.348 eV per atom
D(E_F) ... 9.589 states/eV/f.u.

***

No. 8
Below is a relaxed CaPm2Cu2 crystal, with properties calculated at the PBE-GGA level.

a b c (Å): 8.1517 8.1517 3.8591
angles (deg): 90.00 90.00 90.00
Space group P4/mbm (No. 127)
Symmetry-distinct sites (fractional):
Ca 0.0000 0.0000 0.0000 (multiplicity 2)
Pm 0.1588 0.3412 0.5000 (multiplicity 4)
Cu 0.1205 0.6205 0.0000 (multiplicity 4)

Computed properties:
Spin magnetization ... 0.00 μB per cell
Energy relative to the elements ... -0.106 eV/atom
VASP energy ... -4.045 eV per atom
Relative energy among the computed polymorphs ... 0 meV/atom
D(E_F) ... 5.689 states/eV/f.u.